BeGa2Os | PBE | relaxed

Lattice parameters (Å, degrees): 5.4462 5.4462 5.4462 101.60 101.60 126.72
Atoms (fractional coordinates):
Be 0.0000 0.0000 0.0000
Be 0.7500 0.2500 0.5000
Ga 0.1018 0.1250 0.4768
Ga 0.3750 0.8982 0.0232
Ga 0.6482 0.6250 0.5232
Ga 0.8750 0.3518 0.9768
Os 0.2500 0.7500 0.5000
Os 0.5000 0.5000 0.0000

Computed properties:
Energy relative to the elements in eV/atom: 0.57
Symmetry: I-42d (122)
Size of the total moment in μB/cell: 1.53
Total energy in hartree per atom: -0.1722



Be3GaOs | PBE | relaxed

Lattice parameters (Å, degrees): 4.2479 4.2479 4.2479 90.00 90.00 90.00
Atoms (fractional coordinates):
Be 0.0000 0.0000 0.5000
Be 0.0000 0.5000 0.0000
Be 0.5000 0.0000 0.0000
Ga 0.5000 0.5000 0.5000
Os 0.0000 0.0000 0.0000

Computed properties:
Energy relative to the elements in eV/atom: 0.68
Symmetry: Pm-3m (221)
Size of the total moment in μB/cell: 0.00
Total energy in hartree per atom: -0.1621
Offset from the most stable computed form in meV/atom: 0



Be3GaOs | PBE | relaxed

Lattice parameters (Å, degrees): 4.0094 4.0094 4.0094 90.00 90.00 90.00
Atoms (fractional coordinates):
Be 0.0000 0.0000 0.5000
Be 0.0000 0.5000 0.0000
Be 0.5000 0.0000 0.0000
Ga 0.0000 0.0000 0.0000
Os 0.5000 0.5000 0.5000

Computed properties:
Energy relative to the elements in eV/atom: 1.28
Symmetry: Pm-3m (221)
Size of the total moment in μB/cell: 0.94
Total energy in hartree per atom: -0.1399
Offset from the most stable computed form in meV/atom: 605



BeGa2POs | PBE | relaxed

Lattice parameters (Å, degrees): 4.7109 4.7109 3.7322 90.00 90.00 90.00
Atoms (fractional coordinates):
Be 0.0000 0.0000 0.0000
Ga 0.0000 0.5000 0.5000
Ga 0.5000 0.0000 0.5000
P 0.0000 0.0000 0.5000
Os 0.5000 0.5000 0.0000

Computed properties:
Energy relative to the elements in eV/atom: 0.99
Symmetry: P4/mmm (123)
Size of the total moment in μB/cell: 0.00
Total energy in hartree per atom: -0.1578



PuBeGaOs | PBE | relaxed

Lattice parameters (Å, degrees): 5.4836 5.4836 5.4836 43.24 43.24 43.24
Atoms (fractional coordinates):
Pu 0.0000 0.0000 0.0000
Be 0.7891 0.7891 0.7891
Ga 0.2030 0.2030 0.2030
Os 0.4510 0.4510 0.4510

Computed properties:
Energy relative to the elements in eV/atom: -0.08
Symmetry: R3m (160)
Size of the total moment in μB/cell: 4.93
Total energy in hartree per atom: -0.2999



SrBeGa2Os | PBE | relaxed

Lattice parameters (Å, degrees): 4.7993 4.7993 4.5367 90.00 90.00 90.00
Atoms (fractional coordinates):
Sr 0.0000 0.0000 0.0000
Be 0.5000 0.5000 0.0000
Ga 0.0000 0.5000 0.5000
Ga 0.5000 0.0000 0.5000
Os 0.5000 0.5000 0.5000

Computed properties:
Energy relative to the elements in eV/atom: -0.23
Symmetry: P4/mmm (123)
Size of the total moment in μB/cell: 0.00
Total energy in hartree per atom: -0.1751



BeGa2TcOs | PBE | relaxed

Lattice parameters (Å, degrees): 4.6554 4.6554 4.0689 90.00 90.00 90.00
Atoms (fractional coordinates):
Be 0.0000 0.0000 0.0000
Ga 0.0000 0.5000 0.5000
Ga 0.5000 0.0000 0.5000
Tc 0.0000 0.0000 0.5000
Os 0.5000 0.5000 0.0000

Computed properties:
Energy relative to the elements in eV/atom: 1.30
Symmetry: P4/mmm (123)
Size of the total moment in μB/cell: 1.96
Total energy in hartree per atom: -0.1829



ThBeGa2Os2 | PBE | relaxed

Lattice parameters (Å, degrees): 4.3196 4.3196 5.4614 90.00 90.00 90.00
Atoms (fractional coordinates):
Th 0.0000 0.0000 0.0000
Be 0.0000 0.0000 0.5000
Ga 0.5000 0.5000 0.2343
Ga 0.5000 0.5000 0.7657
Os 0.0000 0.5000 0.5000
Os 0.5000 0.0000 0.5000

Computed properties:
Energy relative to the elements in eV/atom: -0.32
Symmetry: P4/mmm (123)
Size of the total moment in μB/cell: 0.00
Total energy in hartree per atom: -0.2545



Be2GaP | PBE | relaxed

Lattice parameters (Å, degrees): 5.7495 5.7495 5.7495 120.84 120.84 88.56
Atoms (fractional coordinates):
Be 0.0684 0.6250 0.9434
Be 0.3750 0.3184 0.4434
Be 0.6816 0.1250 0.0566
Be 0.8750 0.9316 0.5566
Ga 0.2500 0.7500 0.5000
Ga 0.5000 0.5000 0.0000
P 0.0000 0.0000 0.0000
P 0.7500 0.2500 0.5000

Computed properties:
Energy relative to the elements in eV/atom: 0.26
Symmetry: I-42d (122)
Size of the total moment in μB/cell: 0.00
Total energy in hartree per atom: -0.1364
Offset from the most stable computed form in meV/atom: 0



Be2GaP | PBE | relaxed

Lattice parameters (Å, degrees): 4.1365 4.1365 4.1365 60.00 60.00 60.00
Atoms (fractional coordinates):
Be 0.2500 0.2500 0.2500
Be 0.7500 0.7500 0.7500
Ga 0.0000 0.0000 0.0000
P 0.5000 0.5000 0.5000

Computed properties:
Energy relative to the elements in eV/atom: 0.53
Symmetry: Fm-3m (225)
Size of the total moment in μB/cell: 0.00
Total energy in hartree per atom: -0.1263
Offset from the most stable computed form in meV/atom: 273



BeGaP2S | PBE | relaxed

Lattice parameters (Å, degrees): 4.6589 4.6589 4.6740 90.00 90.00 90.00
Atoms (fractional coordinates):
Be 0.0000 0.0000 0.0000
Ga 0.5000 0.5000 0.5000
P 0.0000 0.5000 0.5000
P 0.5000 0.0000 0.5000
S 0.5000 0.5000 0.0000

Computed properties:
Symmetry: P4/mmm (123)
Size of the total moment in μB/cell: 0.00
Total energy in hartree per atom: -0.1151
Offset from the most stable computed form in meV/atom: 670
Formation energy (no corrections) in eV per atom: 1.21



BeGaPS2 | PBE | relaxed

Lattice parameters (Å, degrees): 4.6252 4.6252 4.7695 90.00 90.00 90.00
Atoms (fractional coordinates):
Be 0.0000 0.0000 0.0000
Ga 0.5000 0.5000 0.5000
P 0.5000 0.5000 0.0000
S 0.0000 0.5000 0.5000
S 0.5000 0.0000 0.5000

Computed properties:
Symmetry: P4/mmm (123)
Size of the total moment in μB/cell: 0.00
Total energy in hartree per atom: -0.1128
Offset from the most stable computed form in meV/atom: 619
Formation energy (no corrections) in eV per atom: 1.02